# 1
The following is a PBE-GGA calculation of crystalline MnCo4Au at its relaxed geometry, from the Alexandria database.

Geometry as POSCAR:
```
MnCo4Au
1.0
1.632 -3.847 -2.296
3.004 -2.987 2.189
-1.476 -4.348 1.285
Co Au Mn
4 1 1
Direct
0.375 0.875 0.375 Co
0.375 0.375 0.375 Co
0.875 0.375 0.375 Co
0.375 0.375 0.875 Co
0.000 0.000 0.000 Au
0.750 0.750 0.750 Mn
```

Properties
M_tot (μB/cell): 10.49
Final energy (eV/atom): -6.6929
Density of states at the Fermi level (states/eV/cell): 6.3
Formation energy (eV per atom): 0.1188

***

# 2
The following is a PBE-GGA calculation of crystalline Tc2RuCl at its relaxed geometry, from the Alexandria database.

Geometry as POSCAR:
```
Tc2RuCl
1.0
4.373 0.000 0.000
2.186 3.787 0.000
2.186 1.262 3.571
Tc Ru Cl
2 1 1
Direct
0.250 0.250 0.250 Tc
0.000 0.000 0.000 Tc
0.750 0.750 0.750 Ru
0.500 0.500 0.500 Cl
```

Properties
M_tot (μB/cell): 0.00
Final energy (eV/atom): -7.0730
Density of states at the Fermi level (states/eV/cell): 3.0

***

# 3
The following is a PBE-GGA calculation of crystalline CsInAg at its relaxed geometry, from the Alexandria database.

Geometry as POSCAR:
```
CsInAg
1.0
5.227 0.000 0.000
0.000 5.488 -1.323
0.000 0.077 7.544
Cs In Ag
2 2 2
Direct
0.750 0.219 0.901 Cs
0.250 0.781 0.099 Cs
0.750 0.627 0.456 In
0.250 0.373 0.544 In
0.250 0.886 0.580 Ag
0.750 0.114 0.420 Ag
```

Properties
M_tot (μB/cell): 0.00
Final energy (eV/atom): -2.1777
Density of states at the Fermi level (states/eV/cell): 1.8
Formation energy (eV per atom): -0.0299

***

# 4
The following is a PBE-GGA calculation of crystalline Te2IrBr at its relaxed geometry, from the Alexandria database.

Geometry as POSCAR:
```
Te2IrBr
1.0
5.075 0.000 0.000
0.000 4.360 0.063
0.000 2.204 5.466
Br Ir Te
1 1 2
Direct
0.000 0.504 0.487 Br
0.500 0.826 0.906 Ir
0.000 0.958 0.949 Te
0.500 0.212 0.158 Te
```

Properties
M_tot (μB/cell): 0.00
Final energy (eV/atom): -3.9293
Density of states at the Fermi level (states/eV/cell): 3.6